UPaFeNi: optimized geometry, PBE.

Geometry as POSCAR:
```
UPaFeNi
1.0
4.501 0.000 0.000
2.250 3.898 0.000
2.250 1.299 3.675
Pa Ni U Fe
1 1 1 1
Cartesian
6.751 3.898 2.756
2.250 1.299 0.919
4.501 2.599 1.838
0.000 0.000 0.000
```

Size of the total moment = 1.04 μB/f.u.
VASP energy = -35.7 eV per cell
SG = No. 216